Record 1
Entry from the Alexandria database: a geometry-optimized Tb6ScAg5 structure (PBE).

Cell lengths 5.184, 7.288, 8.344 Å; angles 90.00, 108.12, 90.00 degrees
Sites, in units of the cell vectors:
Tb1 0.500 0.263 0.000
Tb2 0.500 0.737 0.000
Ag1 0.330 0.500 0.662
Ag2 0.670 0.500 0.338
Tb3 0.172 0.754 0.344
Tb4 0.172 0.246 0.343
Ag3 0.648 0.000 0.294
Sc1 0.000 0.000 0.000
Tb5 0.828 0.754 0.657
Ag4 0.352 0.000 0.706
Tb6 0.828 0.246 0.656
Ag5 0.000 0.500 0.000

Summary:
As for the magnetization: 0.00 μB per cell. The value obtained for the formation energy is -20.6 kJ per mole of atoms. The value obtained for the total energy is -4.244 eV per atom. The symmetry is Cmmm, No. 65. The density of states at the Fermi level comes out at 9.05 states/eV/f.u. The calculated volume comes out at 299.6 Å³ per cell.

Record 2
Entry from the Alexandria database: a geometry-optimized TbSc2Ag3 structure (PBE).

Cell lengths 3.478, 3.478, 10.678 Å; angles 90.00, 90.00, 90.00 degrees
Sites, in units of the cell vectors:
Ag1 0.000 0.000 0.313
Sc1 0.500 0.500 0.840
Tb1 0.500 0.500 0.500
Sc2 0.500 0.500 0.160
Ag2 0.000 0.000 0.687
Ag3 0.000 0.000 0.000

Summary:
As for the magnetization: 0.00 μB per cell. The value obtained for the formation energy is -27.2 kJ per mole of atoms. The value obtained for the total energy is -4.590 eV per atom. The symmetry is P4/mmm, No. 123. The density of states at the Fermi level comes out at 2.96 states/eV/f.u. The calculated volume comes out at 129.2 Å³ per cell.

Record 3
Entry from the Alexandria database: a geometry-optimized Tb2ScAg structure (PBE).

Cell lengths 3.478, 3.478, 10.440 Å; angles 80.41, 80.41, 60.00 degrees
Sites, in units of the cell vectors:
Ag1 0.667 0.667 0.999
Tb1 0.254 0.254 0.238
Tb2 0.079 0.079 0.763
Sc1 0.500 0.500 0.501

Summary:
As for the magnetization: 0.00 μB per cell. The value obtained for the formation energy is 0.3 kJ per mole of atoms. Its energy above the most stable polymorph in this dataset is 0.1110 eV per atom. The value obtained for the total energy is -4.608 eV per atom. The symmetry is R3m, No. 160. The density of states at the Fermi level comes out at 5.14 states/eV/f.u. The calculated volume comes out at 107.3 Å³ per cell.

Record 4
Entry from the Alexandria database: a geometry-optimized TbSc4Ag structure (PBE).

Cell lengths 5.206, 6.027, 9.910 Å; angles 90.00, 105.23, 90.00 degrees
Sites, in units of the cell vectors:
Ag1 0.399 0.517 0.798
Sc1 0.543 0.595 0.086
Tb1 0.936 0.767 0.873
Sc2 0.686 0.404 0.372
Sc3 0.254 0.387 0.507
Sc4 0.746 0.887 0.493
Sc5 0.457 0.095 0.914
Ag2 0.601 0.017 0.202
Tb2 0.064 0.267 0.127
Sc6 0.140 0.763 0.280
Sc7 0.860 0.263 0.720
Sc8 0.314 0.904 0.628

Summary:
As for the magnetization: 0.00 μB per cell. The value obtained for the formation energy is 5.0 kJ per mole of atoms. The value obtained for the total energy is -5.416 eV per atom. The symmetry is Cmc2_1, No. 36. The density of states at the Fermi level comes out at 9.15 states/eV/f.u. The calculated volume comes out at 300.1 Å³ per cell.

Record 5
Entry from the Alexandria database: a geometry-optimized TbSc2Ag structure (PBE).

Cell lengths 3.414, 3.414, 10.080 Å; angles 80.25, 80.25, 60.00 degrees
Sites, in units of the cell vectors:
Sc1 0.259 0.259 0.222
Sc2 0.074 0.074 0.778
Tb1 0.501 0.501 0.498
Ag1 0.666 0.666 0.002

Summary:
As for the magnetization: 0.15 μB per cell. The value obtained for the formation energy is 3.3 kJ per mole of atoms. Its energy above the most stable polymorph in this dataset is 0.1309 eV per atom. The value obtained for the total energy is -5.002 eV per atom. The symmetry is R3m, No. 160. The density of states at the Fermi level comes out at 6.40 states/eV/f.u. The calculated volume comes out at 99.8 Å³ per cell.

Record 6
Entry from the Alexandria database: a geometry-optimized Tb3Sc2Ag2 structure (PBE).

Cell lengths 4.788, 3.378, 11.159 Å; angles 90.00, 77.61, 90.00 degrees
Sites, in units of the cell vectors:
Tb1 0.149 0.000 0.702
Sc1 0.287 0.500 0.427
Ag1 0.573 0.500 0.854
Tb2 0.000 0.000 0.000
Tb3 0.851 0.000 0.298
Ag2 0.427 0.500 0.146
Sc2 0.713 0.500 0.573

Summary:
As for the magnetization: 0.00 μB per cell. The value obtained for the formation energy is -0.6 kJ per mole of atoms. The value obtained for the total energy is -4.614 eV per atom. The symmetry is Cmmm, No. 65. The density of states at the Fermi level comes out at 8.24 states/eV/f.u. The calculated volume comes out at 176.3 Å³ per cell.

Question: Among the records above, which one has the lowest calculated volume?
Answer: TbSc2Ag

Question: Number 5 is which compound?
Answer: TbSc2Ag